Entry 1:
{
  "formula": "TaCuRh3",
  "functional": "PBE-GGA",
  "state": "relaxed",
  "lattice": [[-1.114, 3.395, -2.509], [-3.359, -3.930, -3.826], [-2.853, 2.791, 5.043]],
  "species": ["Ta", "Ta", "Cu", "Cu", "Rh", "Rh", "Rh", "Rh", "Rh", "Rh"],
  "frac_coords": [[0.250, 0.334, 0.666], [0.750, 0.666, 0.334], [0.000, 0.000, 0.000], [0.500, 0.000, 0.000], [0.250, 0.804, 0.196], [0.750, 0.196, 0.804], [0.250, 0.804, 0.608], [0.750, 0.196, 0.392], [0.250, 0.392, 0.196], [0.750, 0.608, 0.804]],
  "dft_energy_ev_per_atom": -7.4793,
  "e_above_lowest_polymorph_ev_per_atom": 0.000,
  "volume_a3_per_atom": 15.64,
  "e_form_ev_per_atom": 0.121
}


Entry 2:
{
  "formula": "Rb2SrCdCl6",
  "functional": "PBE-GGA",
  "state": "relaxed",
  "lattice": [[7.753, 0.000, 0.000], [0.000, 7.753, 0.000], [3.876, 3.876, 5.483]],
  "species": ["Sr", "Cl", "Cl", "Cl", "Cl", "Cl", "Cl", "Rb", "Rb", "Cd"],
  "frac_coords": [[0.500, 0.500, 0.000], [0.241, 0.241, 0.518], [0.759, 0.759, 0.482], [0.241, 0.241, 0.000], [0.759, 0.759, 0.000], [0.759, 0.241, 0.000], [0.241, 0.759, 0.000], [0.750, 0.250, 0.500], [0.250, 0.750, 0.500], [0.000, 0.000, 0.000]],
  "dft_energy_ev_per_atom": -3.4011,
  "e_above_lowest_polymorph_ev_per_atom": 0.023,
  "volume_a3_per_atom": 32.95,
  "raw_formation_energy_ev_per_atom": -1.840
}


Entry 3:
{
  "formula": "Sr2Li5CaCd2",
  "functional": "PBE-GGA",
  "state": "relaxed",
  "lattice": [[-0.908, -4.002, -1.817], [5.000, 3.246, -9.649], [9.918, -3.978, 3.802]],
  "species": ["Sr", "Sr", "Sr", "Sr", "Li", "Li", "Li", "Li", "Li", "Li", "Li", "Li", "Li", "Li", "Ca", "Ca", "Cd", "Cd", "Cd", "Cd"],
  "frac_coords": [[0.000, 0.678, 0.178], [0.000, 0.322, 0.822], [0.000, 0.178, 0.322], [0.000, 0.822, 0.678], [0.500, 0.228, 0.068], [0.500, 0.772, 0.932], [0.500, 0.068, 0.772], [0.500, 0.728, 0.432], [0.500, 0.932, 0.228], [0.500, 0.272, 0.568], [0.500, 0.568, 0.728], [0.500, 0.432, 0.272], [0.500, 0.500, 0.000], [0.500, 0.000, 0.500], [0.000, 0.000, 0.000], [0.000, 0.500, 0.500], [0.000, 0.115, 0.615], [0.000, 0.885, 0.385], [0.000, 0.615, 0.885], [0.000, 0.385, 0.115]],
  "dft_energy_ev_per_atom": -1.7993,
  "volume_a3_per_atom": 28.86,
  "e_form_ev_per_atom": -0.123
}


Entry 4:
{
  "formula": "Ac4In2Hg",
  "functional": "PBE-GGA",
  "state": "relaxed",
  "lattice": [[-3.147, -1.813, -4.450], [2.102, -3.974, -3.574], [-3.967, -8.583, 2.595]],
  "species": ["Ac", "Ac", "Ac", "Ac", "Hg", "In", "In"],
  "frac_coords": [[0.873, 0.873, 0.380], [0.127, 0.127, 0.620], [0.622, 0.622, 0.134], [0.378, 0.378, 0.866], [0.000, 0.000, 0.000], [0.749, 0.749, 0.752], [0.251, 0.251, 0.248]],
  "dft_energy_ev_per_atom": -3.4942,
  "volume_a3_per_atom": 37.66,
  "e_form_ev_per_atom": -0.321
}


Entry 5:
{
  "formula": "La6Co2NCl3",
  "functional": "PBE-GGA",
  "state": "relaxed",
  "lattice": [[-2.420, 5.661, -2.988], [-2.722, -6.132, -1.346], [-3.548, 1.037, 6.797]],
  "species": ["La", "La", "La", "La", "La", "La", "Co", "Co", "N", "Cl", "Cl", "Cl"],
  "frac_coords": [[0.907, 0.594, 0.810], [0.796, 0.796, 0.222], [0.093, 0.406, 0.190], [0.594, 0.907, 0.810], [0.204, 0.204, 0.778], [0.406, 0.093, 0.190], [0.358, 0.642, 0.000], [0.642, 0.358, 0.000], [0.000, 0.000, 0.000], [0.182, 0.818, 0.500], [0.818, 0.182, 0.500], [0.500, 0.500, 0.500]],
  "dft_energy_ev_per_atom": -5.9369,
  "volume_a3_per_atom": 25.23,
  "raw_formation_energy_ev_per_atom": -1.133
}


Entry 6:
{
  "formula": "TaRhSN2",
  "functional": "PBE-GGA",
  "state": "relaxed",
  "lattice": [[3.853, 0.000, 0.000], [0.000, 3.853, 0.000], [0.000, 0.000, 4.572]],
  "species": ["S", "N", "N", "Rh", "Ta"],
  "frac_coords": [[0.000, 0.000, 0.500], [0.000, 0.500, 0.000], [0.500, 0.000, 0.000], [0.000, 0.000, 0.000], [0.500, 0.500, 0.500]],
  "dft_energy_ev_per_atom": -6.8060,
  "e_above_lowest_polymorph_ev_per_atom": 0.651,
  "volume_a3_per_atom": 13.58,
  "raw_formation_energy_ev_per_atom": 1.190
}